## Cs2ErZn2O4 (PBE-GGA)

Data for a relaxed structure of Cs2ErZn2O4.

Cell: 3.4468 7.4929 7.1695 Å, 107.46 90.00 103.30°
With the nearest neighbours (Å) after each atom.
Positions (direct):
Zn: 0.6777 0.3555 0.0336  3 O 2.05
Zn: 0.3223 0.6445 0.9664  3 O 2.05
Cs: 0.1308 0.2617 0.5586  3 O 2.92-3.17
Cs: 0.8692 0.7383 0.4414  3 O 2.92-3.17
O: 0.4574 0.9148 0.1675  1 Zn 2.05, 2 Er 2.29
O: 0.8364 0.6727 0.8225  2 Zn 2.05
O: 0.1636 0.3273 0.1775  2 Zn 2.05
O: 0.5426 0.0852 0.8325  1 Zn 2.05, 2 Er 2.29
Er: 0.0000 0.0000 0.0000  6 O 2.29-2.33

raw formation energy: -1496.8 kJ/mol of formula units
V: 19.05 Å³ per atom
SG: C2/m (12)